# 1
! CrGeAs2, relaxed, DFT GGA-PBE; values from VASP
&SYSTEM
  ibrav = 0, nat = 4, ntyp = 3
/
ATOMIC_SPECIES
As 74.92 As.upf
Ge 72.64 Ge.upf
Cr 52.00 Cr.upf
CELL_PARAMETERS angstrom
2.9106 0.0000 0.0000
1.4553 2.5206 0.0000
1.4553 0.8402 10.2193
ATOMIC_POSITIONS crystal
As 0.0805 0.0805 0.7586
Ge 0.5000 0.5000 0.5000
As 0.9195 0.9195 0.2414
Cr 0.0000 0.0000 0.0000
! SG = R-3m
! DFT total energy = -5.3088 eV/atom
! DOS(E_F) = 2.7 states/eV per cell

# 2
! AcZrRh2, relaxed, DFT GGA-PBE; values from VASP
&SYSTEM
  ibrav = 0, nat = 4, ntyp = 3
/
ATOMIC_SPECIES
Zr 91.22 Zr.upf
Rh 102.91 Rh.upf
Ac 227.00 Ac.upf
CELL_PARAMETERS angstrom
-2.0330 2.7202 -0.8334
-1.4976 -2.3745 -4.0965
-3.7528 -2.0247 2.5456
ATOMIC_POSITIONS crystal
Zr 0.5000 0.0000 0.0000
Rh 0.0000 0.0000 0.5000
Rh 0.0000 0.5000 0.0000
Ac 0.5000 0.5000 0.5000
! SG = P4/mmm
! DFT total energy = -7.2686 eV/atom
! Excess energy over the best structure of this formula in the dataset = 0.76 eV/f.u.
! DOS(E_F) = 2.9 states/eV per cell